The following is a DFT calculation (PBE) of an optimized crystal structure of Ga2CuRu.

Structure (CIF):
```
data_Ga2CuRu
_symmetry_space_group_name_H-M 'P 4/m m m'
_symmetry_Int_Tables_number 123
_symmetry_space_group_name_Hall '-P 4 2'
_cell_length_a 4.242
_cell_length_b 4.242
_cell_length_c 3.073
_cell_angle_alpha 90.00
_cell_angle_beta 90.00
_cell_angle_gamma 90.00
loop_
_atom_site_label
_atom_site_type_symbol
_atom_site_fract_x
_atom_site_fract_y
_atom_site_fract_z
_atom_site_occupancy
Ga1 Ga 0.000 0.500 0.000 1
Cu1 Cu 0.000 0.000 0.500 1
Ru1 Ru 0.500 0.500 0.500 1
```

=====

The following is a DFT calculation (PBE) of an optimized crystal structure of HoScPd14.

Structure (CIF):
```
data_HoScPd14
_symmetry_space_group_name_H-M 'P 4/m m m'
_symmetry_Int_Tables_number 123
_symmetry_space_group_name_Hall '-P 4 2'
_cell_length_a 5.686
_cell_length_b 5.686
_cell_length_c 7.974
_cell_angle_alpha 90.00
_cell_angle_beta 90.00
_cell_angle_gamma 90.00
loop_
_atom_site_label
_atom_site_type_symbol
_atom_site_fract_x
_atom_site_fract_y
_atom_site_fract_z
_atom_site_occupancy
Ho1 Ho 0.000 0.000 0.000 1
Sc1 Sc 0.500 0.500 0.000 1
Pd1 Pd 0.000 0.000 0.500 1
Pd2 Pd 0.000 0.500 0.000 1
Pd3 Pd 0.000 0.500 0.500 1
Pd4 Pd 0.253 0.253 0.254 1
Pd5 Pd 0.500 0.500 0.500 1
```

=====

The following is a DFT calculation (PBE) of an optimized crystal structure of Ti2VP.

Structure (CIF):
```
data_Ti2VP
_symmetry_space_group_name_H-M 'R -3 m'
_symmetry_Int_Tables_number 166
_symmetry_space_group_name_Hall '-R 3 2"'
_cell_length_a 3.1773
_cell_length_b 3.1773
_cell_length_c 21.7158
_cell_angle_alpha 90.00
_cell_angle_beta 90.00
_cell_angle_gamma 120.00
loop_
_atom_site_label
_atom_site_type_symbol
_atom_site_fract_x
_atom_site_fract_y
_atom_site_fract_z
_atom_site_occupancy
Ti1 Ti 0.0000 0.0000 0.2401 1
V1 V 0.0000 0.0000 0.0000 1
P1 P 0.0000 0.0000 0.5000 1
```

=====

# Zr2ZnCd (PBE, optimized geometry)
data_Zr2ZnCd
_symmetry_space_group_name_H-M 'F -4 3 m'
_symmetry_Int_Tables_number 216
_symmetry_space_group_name_Hall 'F -4 2 3'
_cell_length_a 6.981
_cell_length_b 6.981
_cell_length_c 6.981
_cell_angle_alpha 90.00
_cell_angle_beta 90.00
_cell_angle_gamma 90.00
loop_
_atom_site_label
_atom_site_type_symbol
_atom_site_fract_x
_atom_site_fract_y
_atom_site_fract_z
_atom_site_occupancy
Zr1 Zr 0.000 0.000 0.000 1
Zr2 Zr 0.250 0.250 0.250 1
Zn1 Zn 0.000 0.000 0.500 1
Cd1 Cd 0.250 0.250 0.750 1
# Offset from the most stable computed form (meV/atom): 405

=====

# Ag6Pt5 (PBE, optimized geometry)
data_Ag6Pt5
_symmetry_space_group_name_H-M 'P 1'
_symmetry_Int_Tables_number 1
_cell_length_a 4.997
_cell_length_b 6.394
_cell_length_c 6.411
_cell_angle_alpha 107.64
_cell_angle_beta 105.10
_cell_angle_gamma 97.14
loop_
_symmetry_equiv_pos_as_xyz
'x,y,z'
loop_
_atom_site_label
_atom_site_type_symbol
_atom_site_fract_x
_atom_site_fract_y
_atom_site_fract_z
_atom_site_occupancy
Ag1 Ag 0.000 0.000 0.000 1
Ag2 Ag 0.088 0.818 0.363 1
Ag3 Ag 0.175 0.639 0.727 1
Ag4 Ag 0.265 0.454 0.092 1
Ag5 Ag 0.543 0.911 0.180 1
Ag6 Ag 0.910 0.180 0.629 1
Pt1 Pt 0.362 0.281 0.456 1
Pt2 Pt 0.468 0.096 0.810 1
Pt3 Pt 0.630 0.722 0.554 1
Pt4 Pt 0.715 0.536 0.906 1
Pt5 Pt 0.801 0.366 0.266 1
# Offset from the most stable computed form (meV/atom): 38

=====

The following is a DFT calculation (PBE) of an optimized crystal structure of BaErTlPb.

Structure (CIF):
```
data_BaErTlPb
_symmetry_space_group_name_H-M 'F -4 3 m'
_symmetry_Int_Tables_number 216
_symmetry_space_group_name_Hall 'F -4 2 3'
_cell_length_a 8.100
_cell_length_b 8.100
_cell_length_c 8.100
_cell_angle_alpha 90.00
_cell_angle_beta 90.00
_cell_angle_gamma 90.00
loop_
_atom_site_label
_atom_site_type_symbol
_atom_site_fract_x
_atom_site_fract_y
_atom_site_fract_z
_atom_site_occupancy
Ba1 Ba 0.000 0.000 0.000 1
Er1 Er 0.000 0.000 0.500 1
Tl1 Tl 0.250 0.250 0.250 1
Pb1 Pb 0.250 0.250 0.750 1
```

=====

# Ti6Sn3Sb (PBE, optimized geometry)
data_Ti6Sn3Sb
_symmetry_space_group_name_H-M 'C m c 21'
_symmetry_Int_Tables_number 36
_cell_length_a 8.562
_cell_length_b 13.484
_cell_length_c 7.045
_cell_angle_alpha 90.00
_cell_angle_beta 90.00
_cell_angle_gamma 90.00
loop_
_symmetry_equiv_pos_as_xyz
'x,y,z'
'-x,-y,z+1/2'
'-x,y,z'
'x,-y,z+1/2'
'x+1/2,y+1/2,z'
'-x+1/2,-y+1/2,z+1/2'
'-x+1/2,y+1/2,z'
'x+1/2,-y+1/2,z+1/2'
loop_
_atom_site_label
_atom_site_type_symbol
_atom_site_fract_x
_atom_site_fract_y
_atom_site_fract_z
_atom_site_occupancy
Ti1 Ti 0.000 0.034 0.000 1
Ti2 Ti 0.000 0.283 0.157 1
Ti3 Ti 0.221 0.289 0.482 1
Ti4 Ti 0.222 0.430 0.167 1
Sn1 Sn 0.000 0.449 0.472 1
Sn2 Sn 0.182 0.111 0.304 1
Sb1 Sb 0.000 0.193 0.751 1
# Uncorrected formation energy (meV/atom): -164

=====

# NaAgCCl2 (PBE, optimized geometry)
data_NaAgCCl2
_symmetry_space_group_name_H-M 'P 4/m m m'
_symmetry_Int_Tables_number 123
_symmetry_space_group_name_Hall '-P 4 2'
_cell_length_a 5.050
_cell_length_b 5.050
_cell_length_c 5.448
_cell_angle_alpha 90.00
_cell_angle_beta 90.00
_cell_angle_gamma 90.00
loop_
_atom_site_label
_atom_site_type_symbol
_atom_site_fract_x
_atom_site_fract_y
_atom_site_fract_z
_atom_site_occupancy
Na1 Na 0.000 0.000 0.000 1
Ag1 Ag 0.000 0.000 0.500 1
C1 C 0.500 0.500 0.500 1
Cl1 Cl 0.000 0.500 0.000 1
# Uncorrected formation energy (meV/atom): 1212

=====

The following is a DFT calculation (PBE) of an optimized crystal structure of BeNiOs2.

Structure (CIF):
```
data_BeNiOs2
_symmetry_space_group_name_H-M 'C 1 2/m 1'
_symmetry_Int_Tables_number 12
_cell_length_a 8.364
_cell_length_b 2.659
_cell_length_c 4.602
_cell_angle_alpha 90.00
_cell_angle_beta 102.61
_cell_angle_gamma 90.00
loop_
_symmetry_equiv_pos_as_xyz
'x,y,z'
'-x,-y,-z'
'-x,y,-z'
'x,-y,z'
'x+1/2,y+1/2,z'
'-x+1/2,-y+1/2,-z'
'-x+1/2,y+1/2,-z'
'x+1/2,-y+1/2,z'
loop_
_atom_site_label
_atom_site_type_symbol
_atom_site_fract_x
_atom_site_fract_y
_atom_site_fract_z
_atom_site_occupancy
Be1 Be 0.000 0.000 0.000 1
Ni1 Ni 0.000 0.500 0.500 1
Os1 Os 0.244 0.500 0.242 1
```

=====

# EuDyGa (PBE, optimized geometry)
data_EuDyGa
_symmetry_space_group_name_H-M 'F -4 3 m'
_symmetry_Int_Tables_number 216
_symmetry_space_group_name_Hall 'F -4 2 3'
_cell_length_a 7.216
_cell_length_b 7.216
_cell_length_c 7.216
_cell_angle_alpha 90.00
_cell_angle_beta 90.00
_cell_angle_gamma 90.00
loop_
_atom_site_label
_atom_site_type_symbol
_atom_site_fract_x
_atom_site_fract_y
_atom_site_fract_z
_atom_site_occupancy
Eu1 Eu 0.000 0.000 0.000 1
Dy1 Dy 0.000 0.000 0.500 1
Ga1 Ga 0.250 0.250 0.250 1
# Offset from the most stable computed form (meV/atom): 143

=====

# Li2ScCl6 (PBE, optimized geometry)
data_Li2ScCl6
_symmetry_space_group_name_H-M 'C 1 2/m 1'
_symmetry_Int_Tables_number 12
_cell_length_a 12.162
_cell_length_b 3.866
_cell_length_c 11.478
_cell_angle_alpha 90.00
_cell_angle_beta 121.13
_cell_angle_gamma 90.00
loop_
_symmetry_equiv_pos_as_xyz
'x,y,z'
'-x,-y,-z'
'-x,y,-z'
'x,-y,z'
'x+1/2,y+1/2,z'
'-x+1/2,-y+1/2,-z'
'-x+1/2,y+1/2,-z'
'x+1/2,-y+1/2,z'
loop_
_atom_site_label
_atom_site_type_symbol
_atom_site_fract_x
_atom_site_fract_y
_atom_site_fract_z
_atom_site_occupancy
Li1 Li 0.122 0.000 0.205 1
Sc1 Sc 0.000 0.000 0.500 1
Cl1 Cl 0.029 0.000 0.725 1
Cl2 Cl 0.126 0.500 0.086 1
Cl3 Cl 0.164 0.500 0.572 1
# Uncorrected formation energy (meV/atom): -1625

=====

The following is a DFT calculation (PBE) of an optimized crystal structure of FeNi5Mo.

Structure (CIF):
```
data_FeNi5Mo
_symmetry_space_group_name_H-M 'P 4/m m m'
_symmetry_Int_Tables_number 123
_symmetry_space_group_name_Hall '-P 4 2'
_cell_length_a 3.576
_cell_length_b 3.576
_cell_length_c 6.859
_cell_angle_alpha 90.00
_cell_angle_beta 90.00
_cell_angle_gamma 90.00
loop_
_atom_site_label
_atom_site_type_symbol
_atom_site_fract_x
_atom_site_fract_y
_atom_site_fract_z
_atom_site_occupancy
Fe1 Fe 0.000 0.000 0.000 1
Ni1 Ni 0.000 0.000 0.500 1
Ni2 Ni 0.000 0.500 0.235 1
Mo1 Mo 0.500 0.500 0.500 1
```

=====

no.,calculated total energy (eV per atom),magnetic moment (μB per formula unit),density (g/cm³)
1,-5.049,0.00,9.13
2,-5.643,0.00,10.95
3,-7.873,0.77,4.66
4,-4.599,3.32,7.03
5,-4.268,0.00,14.66
6,-3.433,0.00,8.95
7,-6.514,0.00,6.25
8,-2.206,2.00,2.56
9,-7.846,0.00,14.90
10,-6.143,7.31,6.79
11,-3.985,1.00,1.95
12,-6.777,3.52,8.43